(1)
NaTaN: optimized geometry, PBE-GGA.

Calculated values
Energy: -7.654 eV per atom

Unit cell a=3.146 b=3.146 c=11.427 alpha=89.23 beta=89.41 gamma=60.01
Space group P1 (No. 1)
Asymmetric unit:
Na (0.000, 0.000, 0.000) (multiplicity 1)
Na (0.345, 0.362, 0.292) (multiplicity 1)
Ta (0.338, 0.343, 0.756) (multiplicity 1)
Ta (0.675, 0.685, 0.544) (multiplicity 1)
N (0.006, 0.014, 0.647) (multiplicity 1)
N (0.669, 0.672, 0.854) (multiplicity 1)

(2)
NaTaN3: optimized geometry, PBE-GGA.

Calculated values
Energy: -5.361 eV per atom

Unit cell a=3.787 b=3.787 c=3.787 alpha=90.00 beta=90.00 gamma=90.00
Space group Pm-3m (No. 221)
Asymmetric unit:
Na (0.000, 0.000, 0.000) (multiplicity 1)
Ta (0.500, 0.500, 0.500) (multiplicity 1)
N (0.000, 0.000, 0.500) (multiplicity 3)

(3)
NaTaTcN3: optimized geometry, PBE-GGA.

Calculated values
Energy: -8.484 eV per atom

Unit cell a=6.601 b=3.062 c=9.067 alpha=90.00 beta=101.55 gamma=90.00
Space group P2_1/m (No. 11)
Asymmetric unit:
Na (0.214, 0.250, 0.243) (multiplicity 2)
Ta (0.339, 0.750, 0.889) (multiplicity 2)
Tc (0.122, 0.250, 0.587) (multiplicity 2)
N (0.148, 0.250, 0.820) (multiplicity 2)
N (0.190, 0.750, 0.461) (multiplicity 2)
N (0.415, 0.750, 0.108) (multiplicity 2)

(4)
NaTa2TcN: optimized geometry, PBE-GGA.

Calculated values
Energy: -8.543 eV per atom

Unit cell a=4.299 b=4.299 c=4.130 alpha=90.00 beta=90.00 gamma=90.00
Space group P4/mmm (No. 123)
Asymmetric unit:
Na (0.000, 0.000, 0.000) (multiplicity 1)
Ta (0.000, 0.500, 0.500) (multiplicity 2)
Tc (0.500, 0.500, 0.000) (multiplicity 1)
N (0.500, 0.500, 0.500) (multiplicity 1)

(5)
NaTaTe2N: optimized geometry, PBE-GGA.

Calculated values
Energy: -5.788 eV per atom

Unit cell a=5.679 b=5.679 c=3.922 alpha=90.00 beta=90.00 gamma=90.00
Space group P4/mmm (No. 123)
Asymmetric unit:
Na (0.000, 0.000, 0.000) (multiplicity 1)
Ta (0.500, 0.500, 0.500) (multiplicity 1)
Te (0.000, 0.500, 0.500) (multiplicity 2)
N (0.500, 0.500, 0.000) (multiplicity 1)

(6)
NaTaTeN2: optimized geometry, PBE-GGA.

Calculated values
Energy: -6.577 eV per atom

Unit cell a=4.094 b=4.094 c=5.776 alpha=90.00 beta=90.00 gamma=90.00
Space group P4/mmm (No. 123)
Asymmetric unit:
Na (0.000, 0.000, 0.000) (multiplicity 1)
Ta (0.500, 0.500, 0.500) (multiplicity 1)
Te (0.500, 0.500, 0.000) (multiplicity 1)
N (0.000, 0.500, 0.500) (multiplicity 2)

(7)
NaTaTe2N: optimized geometry, PBE-GGA.

Calculated values
Energy: -3.965 eV per atom

Unit cell a=5.406 b=5.406 c=4.037 alpha=90.00 beta=90.00 gamma=90.00
Space group P4/mmm (No. 123)
Asymmetric unit:
Na (0.000, 0.000, 0.000) (multiplicity 1)
Ta (0.500, 0.500, 0.500) (multiplicity 1)
Te (0.000, 0.500, 0.000) (multiplicity 2)
N (0.000, 0.000, 0.500) (multiplicity 1)

(8)
NaTaTeN2: optimized geometry, PBE-GGA.

Calculated values
Energy: -4.414 eV per atom

Unit cell a=4.198 b=4.198 c=5.360 alpha=90.00 beta=90.00 gamma=90.00
Space group P4/mmm (No. 123)
Asymmetric unit:
Na (0.000, 0.000, 0.000) (multiplicity 1)
Ta (0.500, 0.500, 0.500) (multiplicity 1)
Te (0.000, 0.000, 0.500) (multiplicity 1)
N (0.000, 0.500, 0.000) (multiplicity 2)

(9)
NaTa4TiN8: optimized geometry, PBE-GGA.

Calculated values
Energy: -9.769 eV per atom

Unit cell a=6.2953 b=6.2953 c=15.2941 alpha=90.00 beta=90.00 gamma=120.00
Space group R3m (No. 160, hexagonal axes)
Asymmetric unit:
Na (0.0000, 0.0000, 0.0000) (multiplicity 3)
Ta (0.0000, 0.0000, 0.7537) (multiplicity 3)
Ta (0.0151, 0.5075, 0.8795) (multiplicity 9)
Ti (0.0000, 0.0000, 0.3693) (multiplicity 3)
N (0.0000, 0.0000, 0.1428) (multiplicity 3)
N (0.0000, 0.0000, 0.6222) (multiplicity 3)
N (0.0098, 0.5049, 0.1312) (multiplicity 9)
N (0.1908, 0.3817, 0.9558) (multiplicity 9)

(10)
NaTa2Ti3N6: optimized geometry, PBE-GGA.

Calculated values
Energy: -9.481 eV per atom

Unit cell a=13.334 b=3.070 c=6.175 alpha=90.00 beta=102.97 gamma=90.00
Space group C2/m (No. 12)
Asymmetric unit:
Na (0.000, 0.000, 0.000) (multiplicity 2)
Ta (0.160, 0.500, 0.332) (multiplicity 4)
Ti (0.000, 0.000, 0.500) (multiplicity 2)
Ti (0.159, 0.500, 0.825) (multiplicity 4)
N (0.002, 0.500, 0.267) (multiplicity 4)
N (0.166, 0.000, 0.589) (multiplicity 4)
N (0.174, 0.000, 0.089) (multiplicity 4)

(11)
Na2TaTiN: optimized geometry, PBE-GGA.

Calculated values
Energy: -3.737 eV per atom

Unit cell a=5.708 b=5.708 c=4.630 alpha=90.00 beta=90.00 gamma=90.00
Space group P4/mmm (No. 123)
Asymmetric unit:
Na (0.000, 0.500, 0.000) (multiplicity 2)
Ta (0.000, 0.000, 0.500) (multiplicity 1)
Ti (0.000, 0.000, 0.000) (multiplicity 1)
N (0.500, 0.500, 0.500) (multiplicity 1)

(12)
Na3U2TaN6: optimized geometry, PBE-GGA.

Calculated values
Energy: -8.351 eV per atom

Unit cell a=5.836 b=10.118 c=6.029 alpha=90.00 beta=108.66 gamma=90.00
Space group C2/m (No. 12)
Asymmetric unit:
Na (0.000, 0.000, 0.000) (multiplicity 2)
Na (0.000, 0.340, 0.000) (multiplicity 4)
U (0.000, 0.167, 0.500) (multiplicity 4)
Ta (0.000, 0.500, 0.500) (multiplicity 2)
N (0.223, 0.339, 0.687) (multiplicity 8)
N (0.239, 0.000, 0.687) (multiplicity 4)